Compound: Cu2TcNi
Source: the Alexandria database
Functional: PBE
Structure: relaxed

Summary:
total magnetization: 0.0 μB per formula unit
raw total energy: -5.9342 eV/atom
excess energy over the best structure of this formula in the dataset: 0.0992 eV/atom
ΔE_f: 0.151 eV per atom

abc: 4.4560 4.4560 4.6407
angles: 82.43 82.43 33.04
Element x y z (fractional)
Cu 0.0014 0.0014 0.9835
Cu 0.7523 0.7523 0.7640
Ni 0.4990 0.4990 0.4808
Tc 0.2473 0.2473 0.2718

Compound: K5AgF6
Source: the Alexandria database
Functional: PBE
Structure: relaxed

Summary:
total magnetization: 0.1 μB per formula unit
raw total energy: -4.0609 eV/atom
formation energy without anion corrections: -2.43 eV per atom

abc: 6.5138 6.5228 6.5667
angles: 60.22 80.78 71.17
Each line ends with the local moment (μB).
Element x y z (fractional)
K 0.5000 0.1644 0.6711  0.00
K 0.0000 0.3314 0.3372  0.00
K 0.5000 0.5000 0.0000  0.00
K 0.0000 0.6686 0.6628  0.00
K 0.5000 0.8356 0.3289  0.00
Ag 0.0000 0.0000 0.0000  0.06
F 0.7488 0.0855 0.3272  0.00
F 0.2512 0.5873 0.3272  0.00
F 0.2343 0.2364 0.0000  0.01
F 0.7657 0.7636 0.0000  0.01
F 0.7488 0.4127 0.6728  0.00
F 0.2512 0.9145 0.6728  0.00

Compound: NbAlRu3
Source: the Alexandria database
Functional: PBE
Structure: relaxed

Summary:
total magnetization: 0.0 μB per formula unit
raw total energy: -6.8902 eV/atom
excess energy over the best structure of this formula in the dataset: 0.7251 eV/atom
ΔE_f: 1.438 eV per atom

abc: 4.6790 4.6790 4.6790
angles: 90.00 90.00 90.00
Element x y z (fractional)
Ru 0.0000 0.5000 0.0000
Ru 0.0000 0.0000 0.5000
Ru 0.5000 0.0000 0.0000
Nb 0.0000 0.0000 0.0000
Al 0.5000 0.5000 0.5000

Compound: PPtRh2
Source: the Alexandria database
Functional: PBE
Structure: relaxed

Summary:
total magnetization: 0.7 μB per formula unit
raw total energy: -6.6019 eV/atom
ΔE_f: -0.063 eV per atom

abc: 2.8787 2.8787 6.8616
angles: 90.00 90.00 90.00
Each line ends with the local moment (μB).
Element x y z (fractional)
P 0.0000 0.0000 0.4856  -0.01
Pt 0.5000 0.5000 0.7220  0.05
Rh 0.0000 0.0000 0.0042  0.49
Rh 0.5000 0.5000 0.2882  0.14